No. 1
Ba2GaMo: relaxed, PBE.

```
data_Ba2GaMo
_cell_length_a 5.557
_cell_length_b 5.557
_cell_length_c 5.557
_cell_angle_alpha 60.00
_cell_angle_beta 60.00
_cell_angle_gamma 60.00
_symmetry_space_group_name_H-M 'P 1'
_symmetry_Int_Tables_number 1
loop_
_symmetry_equiv_pos_as_xyz
'x,y,z'
loop_
_atom_site_label
_atom_site_type_symbol
_atom_site_fract_x
_atom_site_fract_y
_atom_site_fract_z
Ga1 Ga 0.750 0.750 0.750
Ba1 Ba 0.250 0.250 0.250
Ba2 Ba 0.000 0.000 0.000
Mo1 Mo 0.500 0.500 0.500
```

Results
- Magnetization: 4.5 μB/f.u.
- Calculated total energy: -3.733 eV per atom
- Calculated volume: 121.3 Å³/cell

=====

No. 2
Ba2HfSeO6: relaxed, PBE.

```
data_Ba2HfSeO6
_cell_length_a 5.849
_cell_length_b 5.849
_cell_length_c 5.849
_cell_angle_alpha 60.01
_cell_angle_beta 60.01
_cell_angle_gamma 60.02
_symmetry_space_group_name_H-M 'P 1'
_symmetry_Int_Tables_number 1
loop_
_symmetry_equiv_pos_as_xyz
'x,y,z'
loop_
_atom_site_label
_atom_site_type_symbol
_atom_site_fract_x
_atom_site_fract_y
_atom_site_fract_z
Se1 Se 0.000 0.000 0.500
Ba1 Ba 0.750 0.751 0.250
Ba2 Ba 0.250 0.249 0.750
O1 O 0.754 0.254 0.745
O2 O 0.258 0.241 0.251
O3 O 0.244 0.747 0.755
O4 O 0.246 0.746 0.255
O5 O 0.756 0.253 0.245
O6 O 0.742 0.759 0.749
Hf1 Hf 0.500 0.500 0.000
```

Results
- Magnetization: 0.0 μB/f.u.
- Calculated total energy: -7.097 eV per atom
- Calculated volume: 141.5 Å³/cell

=====

No. 3
SmTlSb: relaxed, PBE.

```
data_SmTlSb
_cell_length_a 5.204
_cell_length_b 5.204
_cell_length_c 5.204
_cell_angle_alpha 60.00
_cell_angle_beta 60.00
_cell_angle_gamma 60.00
_symmetry_space_group_name_H-M 'P 1'
_symmetry_Int_Tables_number 1
loop_
_symmetry_equiv_pos_as_xyz
'x,y,z'
loop_
_atom_site_label
_atom_site_type_symbol
_atom_site_fract_x
_atom_site_fract_y
_atom_site_fract_z
Tl1 Tl 0.750 0.750 0.750
Sb1 Sb 0.250 0.250 0.250
Sm1 Sm 0.000 0.000 0.000
```

Results
- Magnetization: 0.0 μB/f.u.
- Calculated total energy: -4.030 eV per atom
- Calculated volume: 99.7 Å³/cell
- Energy above the lowest structure with this stoichiometry: 0.000 eV/f.u.

=====

No. 4
PrCo2SbAs: relaxed, PBE.

```
data_PrCo2SbAs
_cell_length_a 4.303
_cell_length_b 4.303
_cell_length_c 9.760
_cell_angle_alpha 90.00
_cell_angle_beta 90.00
_cell_angle_gamma 90.00
_symmetry_space_group_name_H-M 'P 1'
_symmetry_Int_Tables_number 1
loop_
_symmetry_equiv_pos_as_xyz
'x,y,z'
loop_
_atom_site_label
_atom_site_type_symbol
_atom_site_fract_x
_atom_site_fract_y
_atom_site_fract_z
Co1 Co 0.000 0.500 0.601
Co2 Co 0.500 0.000 0.399
Co3 Co 0.500 0.500 0.000
Co4 Co 0.000 0.000 0.000
Sb1 Sb 0.500 0.000 0.138
Sb2 Sb 0.000 0.500 0.862
Pr1 Pr 0.000 0.500 0.264
Pr2 Pr 0.500 0.000 0.736
As1 As 0.000 0.000 0.500
As2 As 0.500 0.500 0.500
```

Results
- Magnetization: 0.6 μB/f.u.
- Calculated total energy: -6.181 eV per atom
- Calculated volume: 180.8 Å³/cell

=====

No. 5
KBaSm: relaxed, PBE.

```
data_KBaSm
_cell_length_a 6.469
_cell_length_b 6.469
_cell_length_c 6.469
_cell_angle_alpha 60.00
_cell_angle_beta 60.00
_cell_angle_gamma 60.00
_symmetry_space_group_name_H-M 'P 1'
_symmetry_Int_Tables_number 1
loop_
_symmetry_equiv_pos_as_xyz
'x,y,z'
loop_
_atom_site_label
_atom_site_type_symbol
_atom_site_fract_x
_atom_site_fract_y
_atom_site_fract_z
Ba1 Ba 0.250 0.250 0.250
Sm1 Sm 0.000 0.000 0.000
K1 K 0.750 0.750 0.750
```

Results
- Magnetization: 2.9 μB/f.u.
- Calculated total energy: -1.681 eV per atom
- Calculated volume: 191.4 Å³/cell
- Energy above the lowest structure with this stoichiometry: 0.000 eV/f.u.

=====

No. 6
Nb2BiB2: relaxed, PBE.

```
data_Nb2BiB2
_cell_length_a 7.792
_cell_length_b 7.792
_cell_length_c 3.268
_cell_angle_alpha 90.00
_cell_angle_beta 90.00
_cell_angle_gamma 157.19
_symmetry_space_group_name_H-M 'P 1'
_symmetry_Int_Tables_number 1
loop_
_symmetry_equiv_pos_as_xyz
'x,y,z'
loop_
_atom_site_label
_atom_site_type_symbol
_atom_site_fract_x
_atom_site_fract_y
_atom_site_fract_z
Nb1 Nb 0.664 0.336 0.500
Nb2 Nb 0.336 0.664 0.500
B1 B 0.222 0.778 0.000
B2 B 0.778 0.222 0.000
Bi1 Bi 0.000 0.000 0.000
```

Results
- Magnetization: 0.0 μB/f.u.
- Calculated total energy: -7.752 eV per atom
- Calculated volume: 76.9 Å³/cell

=====

No. 7
Tb2YNi4Sn4: relaxed, PBE.

```
data_Tb2YNi4Sn4
_cell_length_a 8.261
_cell_length_b 8.261
_cell_length_c 8.261
_cell_angle_alpha 149.08
_cell_angle_beta 129.89
_cell_angle_gamma 60.06
_symmetry_space_group_name_H-M 'P 1'
_symmetry_Int_Tables_number 1
loop_
_symmetry_equiv_pos_as_xyz
'x,y,z'
loop_
_atom_site_label
_atom_site_type_symbol
_atom_site_fract_x
_atom_site_fract_y
_atom_site_fract_z
Ni1 Ni 0.630 0.322 0.309
Ni2 Ni 0.987 0.678 0.309
Ni3 Ni 0.013 0.322 0.691
Ni4 Ni 0.370 0.678 0.691
Sn1 Sn 0.295 0.500 0.795
Sn2 Sn 0.784 0.784 0.000
Sn3 Sn 0.705 0.500 0.205
Sn4 Sn 0.216 0.216 0.000
Tb1 Tb 0.631 0.131 0.500
Tb2 Tb 0.369 0.869 0.500
Y1 Y 0.000 0.000 0.000
```

Results
- Magnetization: 0.0 μB/f.u.
- Calculated total energy: -5.477 eV per atom
- Calculated volume: 220.5 Å³/cell

=====

No. 8
TlZnSeF: relaxed, PBE.

```
data_TlZnSeF
_cell_length_a 6.261
_cell_length_b 6.865
_cell_length_c 8.448
_cell_angle_alpha 90.00
_cell_angle_beta 90.00
_cell_angle_gamma 90.00
_symmetry_space_group_name_H-M 'P 1'
_symmetry_Int_Tables_number 1
loop_
_symmetry_equiv_pos_as_xyz
'x,y,z'
loop_
_atom_site_label
_atom_site_type_symbol
_atom_site_fract_x
_atom_site_fract_y
_atom_site_fract_z
Tl1 Tl 0.137 0.058 0.718
Tl2 Tl 0.363 0.942 0.218
Tl3 Tl 0.637 0.442 0.282
Tl4 Tl 0.863 0.558 0.782
Zn1 Zn 0.738 0.931 0.483
Zn2 Zn 0.762 0.069 0.983
Zn3 Zn 0.238 0.569 0.517
Zn4 Zn 0.262 0.431 0.017
F1 F 0.250 0.294 0.507
F2 F 0.750 0.794 0.993
F3 F 0.750 0.206 0.493
F4 F 0.250 0.706 0.007
Se1 Se 0.485 0.773 0.652
Se2 Se 0.515 0.273 0.848
Se3 Se 0.015 0.227 0.152
Se4 Se 0.985 0.727 0.348
```

Results
- Calculated total energy: -3.286 eV per atom
- Calculated volume: 363.1 Å³/cell
- Energy above the lowest structure with this stoichiometry: 0.394 eV/f.u.

=====

No. 9
Nd2Ho2Br5N: relaxed, PBE.

```
data_Nd2Ho2Br5N
_cell_length_a 9.158
_cell_length_b 9.158
_cell_length_c 8.320
_cell_angle_alpha 102.71
_cell_angle_beta 102.71
_cell_angle_gamma 24.09
_symmetry_space_group_name_H-M 'P 1'
_symmetry_Int_Tables_number 1
loop_
_symmetry_equiv_pos_as_xyz
'x,y,z'
loop_
_atom_site_label
_atom_site_type_symbol
_atom_site_fract_x
_atom_site_fract_y
_atom_site_fract_z
Br1 Br 0.173 0.173 0.839
Br2 Br 0.832 0.832 0.672
Br3 Br 0.827 0.827 0.161
Br4 Br 0.168 0.168 0.328
Br5 Br 0.500 0.500 0.500
Nd1 Nd 0.999 0.999 0.203
Nd2 Nd 0.001 0.001 0.797
Ho1 Ho 0.367 0.367 0.933
Ho2 Ho 0.633 0.633 0.067
N1 N 0.500 0.500 0.000
```

Results
- Magnetization: 0.0 μB/f.u.
- Calculated total energy: -5.143 eV per atom
- Calculated volume: 277.5 Å³/cell

=====

No. 10
Ho2Tm3ScBi2Os: relaxed, PBE.

```
data_Ho2Tm3ScBi2Os
_cell_length_a 4.185
_cell_length_b 8.126
_cell_length_c 8.126
_cell_angle_alpha 119.60
_cell_angle_beta 90.00
_cell_angle_gamma 90.00
_symmetry_space_group_name_H-M 'P 1'
_symmetry_Int_Tables_number 1
loop_
_symmetry_equiv_pos_as_xyz
'x,y,z'
loop_
_atom_site_label
_atom_site_type_symbol
_atom_site_fract_x
_atom_site_fract_y
_atom_site_fract_z
Os1 Os 0.000 0.023 0.023
Ho1 Ho 0.500 0.768 0.998
Ho2 Ho 0.500 0.998 0.768
Tm1 Tm 0.000 0.381 0.002
Tm2 Tm 0.000 0.002 0.381
Tm3 Tm 0.000 0.603 0.603
Bi1 Bi 0.500 0.331 0.660
Bi2 Bi 0.500 0.660 0.331
Sc1 Sc 0.500 0.233 0.233
```

Results
- Magnetization: 0.1 μB/f.u.
- Calculated total energy: -5.906 eV per atom
- Calculated volume: 240.3 Å³/cell

=====

No. 11
KGa2Au: relaxed, PBE.

```
data_KGa2Au
_cell_length_a 8.733
_cell_length_b 8.733
_cell_length_c 7.539
_cell_angle_alpha 90.00
_cell_angle_beta 90.00
_cell_angle_gamma 146.54
_symmetry_space_group_name_H-M 'P 1'
_symmetry_Int_Tables_number 1
loop_
_symmetry_equiv_pos_as_xyz
'x,y,z'
loop_
_atom_site_label
_atom_site_type_symbol
_atom_site_fract_x
_atom_site_fract_y
_atom_site_fract_z
Ga1 Ga 0.791 0.209 0.667
Ga2 Ga 0.209 0.791 0.667
Ga3 Ga 0.791 0.209 0.333
Ga4 Ga 0.209 0.791 0.333
K1 K 0.599 0.401 0.000
K2 K 0.401 0.599 0.000
Au1 Au 0.205 0.795 0.000
Au2 Au 0.795 0.205 0.000
```

Results
- Calculated total energy: -2.551 eV per atom
- Calculated volume: 317.1 Å³/cell

=====

No. 12
Zn2AgHg: relaxed, PBE.

```
data_Zn2AgHg
_cell_length_a 4.658
_cell_length_b 4.658
_cell_length_c 4.658
_cell_angle_alpha 60.00
_cell_angle_beta 60.00
_cell_angle_gamma 60.00
_symmetry_space_group_name_H-M 'P 1'
_symmetry_Int_Tables_number 1
loop_
_symmetry_equiv_pos_as_xyz
'x,y,z'
loop_
_atom_site_label
_atom_site_type_symbol
_atom_site_fract_x
_atom_site_fract_y
_atom_site_fract_z
Zn1 Zn 0.000 0.000 0.000
Zn2 Zn 0.250 0.250 0.250
Ag1 Ag 0.750 0.750 0.750
Hg1 Hg 0.500 0.500 0.500
```

Results
- DFT formation energy: 0.12 eV per atom
- Calculated total energy: -1.294 eV per atom
- Calculated volume: 71.5 Å³/cell